[1]
NaAs2Pd2 | GGA-PBEsol | optimized geometry

Unit cell a=4.2789 b=4.2789 c=5.8838 alpha=111.32 beta=111.32 gamma=90.00
Element x y z (fractional)
1 Na 0.0000 0.0000 0.0000
2 As 0.3768 0.3768 0.7535
3 As 0.6232 0.6232 0.2465
4 Pd 0.2500 0.7500 0.5000
5 Pd 0.7500 0.2500 0.5000

- N(E_F) (states/eV/atom) = 0.52
- space-group type = No. 139
- M_tot (μB per cell) = 0.000
- electronic total energy (eV per cell) = -25.67
- DFT formation energy (kcal/mol of atoms) = -9.88

[2]
MgRuSe | GGA-PBEsol | optimized geometry

Unit cell a=3.2685 b=3.2685 c=5.8289 alpha=90.00 beta=90.00 gamma=120.00
Element x y z (fractional)
1 Mg 0.0000 0.0000 0.9805
2 Ru 0.3333 0.6667 0.6343
3 Se 0.6667 0.3333 0.3853

- N(E_F) (states/eV/atom) = 0.30
- formation energy from raw total energies (eV/atom) = -0.151
- space-group type = No. 156
- M_tot (μB per cell) = 0.000
- electronic total energy (eV per cell) = -16.19

[3]
InCuSi3 | GGA-PBEsol | optimized geometry

Unit cell a=5.0035 b=5.0035 c=5.0035 alpha=90.00 beta=90.00 gamma=90.00
Element x y z (fractional)
1 Si 0.0000 0.5000 0.0000
2 Si 0.0000 0.0000 0.5000
3 Si 0.5000 0.0000 0.0000
4 Cu 0.5000 0.5000 0.5000
5 In 0.0000 0.0000 0.0000

- N(E_F) (states/eV/atom) = 0.60
- formation energy from raw total energies (eV/atom) = 1.616
- space-group type = No. 221
- M_tot (μB per cell) = 0.000
- electronic total energy (eV per cell) = -16.48

[4]
LiHN3 | GGA-PBEsol | optimized geometry

Unit cell a=3.2021 b=3.2021 c=3.2021 alpha=90.00 beta=90.00 gamma=90.00
Element x y z (fractional)
1 H 0.0000 0.0000 0.0000
2 N 0.0000 0.5000 0.0000
3 N 0.0000 0.0000 0.5000
4 N 0.5000 0.0000 0.0000
5 Li 0.5000 0.5000 0.5000

- N(E_F) (states/eV/atom) = 0.48
- space-group type = No. 221
- M_tot (μB per cell) = 0.000
- electronic total energy (eV per cell) = -21.49

[5]
LaTeCl | GGA-PBEsol | optimized geometry

Unit cell a=4.4638 b=7.8831 c=9.2952 alpha=90.00 beta=90.00 gamma=90.00
Element x y z (fractional)
1 La 0.7500 0.2640 0.8682
2 La 0.7500 0.7640 0.6318
3 La 0.2500 0.7360 0.1318
4 La 0.2500 0.2360 0.3682
5 Te 0.7500 0.0368 0.1679
6 Te 0.7500 0.5368 0.3321
7 Te 0.2500 0.9632 0.8321
8 Te 0.2500 0.4632 0.6679
9 Cl 0.7500 0.6360 0.9398
10 Cl 0.7500 0.1360 0.5602
11 Cl 0.2500 0.3640 0.0602
12 Cl 0.2500 0.8640 0.4398

- formation energy from raw total energies (eV/atom) = -1.993
- space-group type = No. 62
- M_tot (μB per cell) = 0.000
- electronic total energy (eV per cell) = -67.44

[6]
SnPIN2 | GGA-PBEsol | optimized geometry

Unit cell a=4.0215 b=4.0215 c=6.6150 alpha=90.00 beta=90.00 gamma=90.00
Site moments in Bohr magnetons follow the coordinates.
Element x y z (fractional)
1 I 0.0000 0.0000 0.5000  0.00
2 P 0.5000 0.5000 0.5000  0.35
3 Sn 0.0000 0.0000 0.0000  -0.02
4 N 0.0000 0.5000 0.0000  0.61
5 N 0.5000 0.0000 0.0000  0.61

- N(E_F) (states/eV/atom) = 0.62
- formation energy from raw total energies (eV/atom) = 1.534
- space-group type = No. 123
- M_tot (μB per cell) = 2.467
- electronic total energy (eV per cell) = -21.20

[7]
Tl2PtBr | GGA-PBEsol | optimized geometry

Unit cell a=4.2520 b=5.4294 c=5.4294 alpha=66.75 beta=66.95 gamma=66.95
Element x y z (fractional)
1 Tl 0.2849 0.7151 0.7151
2 Tl 0.7151 0.2849 0.2849
3 Br 0.5000 0.0000 0.0000
4 Pt 0.0000 0.5000 0.5000

- N(E_F) (states/eV/atom) = 0.44
- formation energy from raw total energies (eV/atom) = 0.072
- space-group type = No. 71
- M_tot (μB per cell) = 0.000
- electronic total energy (eV per cell) = -13.80

[8]
MgOsO2F | GGA-PBEsol | optimized geometry

Unit cell a=3.5307 b=3.9081 c=3.9081 alpha=90.00 beta=90.00 gamma=90.00
Site moments in Bohr magnetons follow the coordinates.
Element x y z (fractional)
1 Mg 0.0000 0.0000 0.0000  0.00
2 Os 0.5000 0.5000 0.5000  3.07
3 O 0.0000 0.0000 0.5000  0.12
4 O 0.0000 0.5000 0.0000  0.12
5 F 0.5000 0.0000 0.0000  0.10

- N(E_F) (states/eV/atom) = 0.74
- formation energy from raw total energies (eV/atom) = -0.442
- space-group type = No. 123
- M_tot (μB per cell) = 3.689
- electronic total energy (eV per cell) = -28.57

Copy entry 4 word for word.
LiHN3 | GGA-PBEsol | optimized geometry

Unit cell a=3.2021 b=3.2021 c=3.2021 alpha=90.00 beta=90.00 gamma=90.00
Element x y z (fractional)
1 H 0.0000 0.0000 0.0000
2 N 0.0000 0.5000 0.0000
3 N 0.0000 0.0000 0.5000
4 N 0.5000 0.0000 0.0000
5 Li 0.5000 0.5000 0.5000

- N(E_F) (states/eV/atom) = 0.48
- space-group type = No. 221
- M_tot (μB per cell) = 0.000
- electronic total energy (eV per cell) = -21.49

> Which value of electronic total energy does entry 7 give?

-13.80 eV per cell

> Which value of electronic total energy does entry 5 give?

-67.44 eV per cell